[1]
## YAl2Pb2 (PBE)

Data for an optimized crystal structure of YAl2Pb2.

Summary:
Formation energy, eV per atom: 0.04
Total energy, eV/cell: -21.14
Space-group type: No. 139
Volume, Å³ per cell: 130.0
Size of the total moment, μB/atom: 0.00

a = 4.0716 Å, b = 4.0716 Å, c = 8.3551 Å
α = 75.90°, β = 75.90°, γ = 90.00°
With the nearest neighbours (Å) after each atom.
Sites, in units of the cell vectors:
Pb: 0.3932 0.3932 0.2135  4 Al 3.03, 4 Y 3.33, 1 Pb 3.35
Pb: 0.6068 0.6068 0.7865  4 Al 3.03, 4 Y 3.33, 1 Pb 3.35
Y: 0.0000 0.0000 0.0000  8 Pb 3.33
Al: 0.7500 0.2500 0.5000  4 Al 2.88, 4 Pb 3.03
Al: 0.2500 0.7500 0.5000  4 Al 2.88, 4 Pb 3.03

[2]
## YAlPb (PBE)

Data for an optimized crystal structure of YAlPb.

Summary:
Formation energy, eV per atom: -0.24
Total energy, eV/cell: -14.64
Space-group type: No. 156
Volume, Å³ per cell: 77.6
Size of the total moment, μB/atom: 0.00

a = 4.5224 Å, b = 4.5224 Å, c = 4.3811 Å
α = 90.00°, β = 90.00°, γ = 120.00°
With the nearest neighbours (Å) after each atom.
Sites, in units of the cell vectors:
Pb: 0.3333 0.6667 0.2646  3 Al 2.78
Y: 0.6667 0.3333 0.6891  3 Al 3.04, 3 Pb 3.21
Al: 0.0000 0.0000 0.0463  3 Pb 2.78, 3 Y 3.04

[3]
## YAl2Pb2 (PBE)

Data for an optimized crystal structure of YAl2Pb2.

Summary:
Formation energy, eV per atom: 0.08
Total energy, eV/cell: -20.97
Space-group type: No. 139
Volume, Å³ per cell: 135.2
Size of the total moment, μB/atom: 0.00

a = 4.6605 Å, b = 4.6605 Å, c = 7.0433 Å
α = 70.68°, β = 70.68°, γ = 90.00°
With the nearest neighbours (Å) after each atom.
Sites, in units of the cell vectors:
Pb: 0.7500 0.2500 0.5000  4 Al 3.00, 4 Pb 3.30
Pb: 0.2500 0.7500 0.5000  4 Al 3.00, 4 Pb 3.30
Y: 0.0000 0.0000 0.0000  8 Al 3.52, 8 Pb 3.89
Al: 0.4017 0.4017 0.1966  1 Al 2.45
Al: 0.5983 0.5983 0.8034  1 Al 2.45

Ordered D(E_F) results: 0.6155 0.2185 0.6014; unit states/eV per atom.